Material: CaAlNi2
Method: DFT, GGA-PBE
State: relaxed

Final energy: -4.486 eV per atom

Cell: 3.434 3.906 5.317 Å, 90.00 108.70 90.00°
Space group Pm (No. 6)
Unique sites:
Ca 0.000 0.000 0.000 x1
Al 0.286 0.500 0.575 x1
Ni 0.605 0.500 0.211 x1
Ni 0.737 0.000 0.475 x1

***

Material: CaAl10Ni2
Method: DFT, GGA-PBE
State: relaxed

Final energy: -4.218 eV per atom

Cell: 8.973 10.166 9.185 Å, 90.00 90.00 90.00°
Space group Cmcm (No. 63)
Unique sites:
Ca 0.000 0.123 0.250 x4
Al 0.000 0.159 0.600 x8
Al 0.000 0.380 0.056 x8
Al 0.147 0.378 0.750 x8
Al 0.224 0.000 0.000 x8
Al 0.230 0.363 0.250 x8
Ni 0.250 0.250 0.000 x8

***

Material: CaAlNi2
Method: DFT, GGA-PBE
State: relaxed

Final energy: -4.235 eV per atom

Cell: 6.341 6.341 6.341 Å, 90.00 90.00 90.00°
Space group F-43m (No. 216)
Unique sites:
Ca 0.000 0.000 0.000 x4
Al 0.250 0.250 0.250 x4
Ni 0.000 0.000 0.500 x4
Ni 0.250 0.250 0.750 x4

***

Material: CaAlNi
Method: DFT, GGA-PBE
State: relaxed

Final energy: -4.113 eV per atom

Cell: 3.197 3.197 10.955 Å, 90.00 90.00 90.00°
Space group I4mm (No. 107)
Unique sites:
Ca 0.000 0.000 0.000 x2
Al 0.000 0.000 0.718 x2
Ni 0.000 0.000 0.310 x2

***

Material: CaAl10Ni3
Method: DFT, GGA-PBE
State: relaxed

Final energy: -4.347 eV per atom

Cell: 12.369 12.369 12.369 Å, 90.00 90.00 90.00°
Space group Fm-3m (No. 225)
Unique sites:
Ca 0.250 0.250 0.250 x8
Al 0.000 0.169 0.169 x48
Al 0.110 0.110 0.390 x32
Ni 0.000 0.000 0.265 x24

***

Material: CaAlNi
Method: DFT, GGA-PBE
State: relaxed

Final energy: -3.911 eV per atom

Cell: 6.319 6.319 6.319 Å, 90.00 90.00 90.00°
Space group F-43m (No. 216)
Unique sites:
Ca 0.000 0.000 0.000 x4
Al 0.000 0.000 0.500 x4
Ni 0.250 0.250 0.250 x4

***

Material: CaAlNi2
Method: DFT, GGA-PBE
State: relaxed

Final energy: -4.705 eV per atom

Cell: 4.137 6.444 5.455 Å, 90.00 90.00 90.00°
Space group Pmmn (No. 59, origin choice 2)
Unique sites:
Ca 0.250 0.250 0.135 x2
Al 0.250 0.750 0.363 x2
Ni 0.250 0.060 0.616 x4

***

Material: Ca2AlNi
Method: DFT, GGA-PBE
State: relaxed

Final energy: -3.359 eV per atom

Cell: 6.934 6.934 6.934 Å, 90.00 90.00 90.00°
Space group F-43m (No. 216)
Unique sites:
Ca 0.000 0.000 0.000 x4
Ca 0.250 0.250 0.250 x4
Al 0.000 0.000 0.500 x4
Ni 0.250 0.250 0.750 x4

***

Material: CaAl3Ni
Method: DFT, GGA-PBE
State: relaxed

Final energy: -4.075 eV per atom

Cell: 4.581 4.581 4.581 Å, 90.00 90.00 90.00°
Space group Pm-3m (No. 221)
Unique sites:
Ca 0.000 0.000 0.000 x1
Al 0.000 0.500 0.500 x3
Ni 0.500 0.500 0.500 x1

***

Material: CaAl2Ni2
Method: DFT, GGA-PBE
State: relaxed

Final energy: -4.593 eV per atom

Cell: 7.418 7.418 2.782 Å, 90.00 90.00 90.00°
Space group P4/mbm (No. 127)
Unique sites:
Ca 0.000 0.000 0.000 x2
Al 0.141 0.359 0.500 x4
Ni 0.147 0.647 0.000 x4

***

Material: Ca3Al2Ni7
Method: DFT, GGA-PBE
State: relaxed

Final energy: -4.840 eV per atom

Cell: 5.2127 5.2127 23.6262 Å, 90.00 90.00 120.00°
Space group R-3m (No. 166, hexagonal axes)
Unique sites:
Ca 0.0000 0.0000 0.0000 x3
Ca 0.0000 0.0000 0.1403 x6
Al 0.0000 0.0000 0.3319 x6
Ni 0.0000 0.0000 0.5000 x3
Ni 0.0071 0.5035 0.0806 x18

***

Material: Ca2AlNi
Method: DFT, GGA-PBE
State: relaxed

Final energy: -3.446 eV per atom

Cell: 3.444 3.543 7.470 Å, 90.00 90.10 90.00°
Space group P2/m (No. 10)
Unique sites:
Ca 0.000 0.000 0.225 x2
Al 0.500 0.500 0.500 x1
Ni 0.500 0.500 0.000 x1